## MnTc2Sb (GGA-PBE)

Data for a relaxed MnTc2Sb crystal.

**E**: -33.35 eV per cell
**DOS(E_F)**: 4.10 states/eV per cell

a = 4.875 Å, b = 4.875 Å, c = 4.875 Å
α = 132.39°, β = 132.39°, γ = 69.61°
Positions (direct):
Mn 0.000 0.000 0.000
Tc 0.500 0.500 0.000
Tc 0.750 0.250 0.500
Sb 0.250 0.750 0.500

=====

## MnTcSb2 (GGA-PBE)

Data for a relaxed MnTcSb2 crystal.

**E above lowest polymorph**: 0.198 eV per atom
**DOS(E_F)**: 2.29 states/eV per cell

a = 4.558 Å, b = 4.558 Å, c = 4.558 Å
α = 60.00°, β = 60.00°, γ = 60.00°
Positions (direct):
Mn 0.000 0.000 0.000
Tc 0.500 0.500 0.500
Sb 0.250 0.250 0.250
Sb 0.750 0.750 0.750

=====

## MnTcSb2 (GGA-PBE)

Data for a relaxed MnTcSb2 crystal.

**E above lowest polymorph**: 0.023 eV per atom
**DOS(E_F)**: 3.41 states/eV per cell

a = 4.415 Å, b = 5.263 Å, c = 5.263 Å
α = 37.90°, β = 90.00°, γ = 90.00°
Positions (direct):
Mn 0.000 0.000 0.000
Tc 0.500 0.151 0.151
Sb 0.000 0.722 0.722
Sb 0.500 0.434 0.434

=====

## MnTc4Sb (GGA-PBE)

Data for a relaxed MnTc4Sb crystal.

**E**: -52.12 eV per cell
**DOS(E_F)**: 6.00 states/eV per cell

a = 5.184 Å, b = 5.184 Å, c = 5.184 Å
α = 60.00°, β = 60.00°, γ = 60.00°
Positions (direct):
Mn 0.000 0.000 0.000
Tc 0.375 0.375 0.375
Tc 0.375 0.375 0.876
Tc 0.375 0.876 0.375
Tc 0.876 0.375 0.375
Sb 0.750 0.750 0.750

=====

## MnTcSb3 (GGA-PBE)

Data for a relaxed MnTcSb3 crystal.

**E above lowest polymorph**: 0.000 eV per atom
**DOS(E_F)**: 14.29 states/eV per cell

a = 4.911 Å, b = 4.911 Å, c = 4.911 Å
α = 90.00°, β = 90.00°, γ = 90.00°
Positions (direct):
Mn 0.000 0.000 0.000
Tc 0.500 0.500 0.500
Sb 0.000 0.000 0.500
Sb 0.000 0.500 0.000
Sb 0.500 0.000 0.000

=====

## MnTcSb2 (GGA-PBE)

Data for a relaxed MnTcSb2 crystal.

**E above lowest polymorph**: 0.504 eV per atom
**DOS(E_F)**: 2.43 states/eV per cell

a = 4.769 Å, b = 4.769 Å, c = 4.769 Å
α = 60.00°, β = 60.00°, γ = 60.00°
Positions (direct):
Mn 0.000 0.000 0.000
Tc 0.750 0.750 0.750
Sb 0.250 0.250 0.250
Sb 0.500 0.500 0.500

=====

## MnTc2Sb (GGA-PBE)

Data for a relaxed MnTc2Sb crystal.

**E**: -33.71 eV per cell
**DOS(E_F)**: 3.74 states/eV per cell

a = 4.407 Å, b = 4.407 Å, c = 3.184 Å
α = 90.00°, β = 90.00°, γ = 90.00°
Positions (direct):
Mn 0.000 0.000 0.000
Tc 0.000 0.500 0.500
Tc 0.500 0.000 0.500
Sb 0.500 0.500 0.000

=====

## MnTc2Sb (GGA-PBE)

Data for a relaxed MnTc2Sb crystal.

**E**: -33.22 eV per cell
**DOS(E_F)**: 4.50 states/eV per cell

a = 4.635 Å, b = 4.635 Å, c = 4.912 Å
α = 101.25°, β = 101.25°, γ = 37.76°
Positions (direct):
Mn 0.000 0.000 0.000
Tc 0.261 0.261 0.782
Tc 0.739 0.739 0.218
Sb 0.500 0.500 0.500

=====

## MnTcSb2 (GGA-PBE)

Data for a relaxed MnTcSb2 crystal.

**E above lowest polymorph**: 0.197 eV per atom
**DOS(E_F)**: 4.80 states/eV per cell

a = 8.564 Å, b = 8.564 Å, c = 8.564 Å
α = 21.84°, β = 21.84°, γ = 21.84°
Positions (direct):
Mn 0.000 0.000 0.000
Tc 0.500 0.500 0.500
Sb 0.247 0.247 0.247
Sb 0.753 0.753 0.753

=====

## MnTcSb2 (GGA-PBE)

Data for a relaxed MnTcSb2 crystal.

**E above lowest polymorph**: 0.172 eV per atom
**DOS(E_F)**: 4.15 states/eV per cell

a = 4.662 Å, b = 4.662 Å, c = 3.287 Å
α = 90.00°, β = 90.00°, γ = 90.00°
Positions (direct):
Mn 0.000 0.000 0.000
Tc 0.500 0.500 0.000
Sb 0.000 0.500 0.500
Sb 0.500 0.000 0.500

=====

## MnTcSb2 (GGA-PBE)

Data for a relaxed MnTcSb2 crystal.

**E above lowest polymorph**: 0.125 eV per atom
**DOS(E_F)**: 2.80 states/eV per cell

a = 6.347 Å, b = 6.347 Å, c = 6.347 Å
α = 149.49°, β = 143.82°, γ = 48.04°
Positions (direct):
Mn 0.000 0.000 0.000
Tc 0.783 0.283 0.500
Sb 0.189 0.689 0.500
Sb 0.440 0.440 0.000

=====

## MnTc2Sb (GGA-PBE)

Data for a relaxed MnTc2Sb crystal.

**E**: -31.58 eV per cell
**DOS(E_F)**: 4.61 states/eV per cell

a = 6.102 Å, b = 6.102 Å, c = 6.102 Å
α = 152.84°, β = 140.08°, γ = 48.95°
Positions (direct):
Mn 0.000 0.000 0.000
Tc 0.208 0.208 0.000
Tc 0.792 0.792 0.000
Sb 0.500 0.500 0.000

=====

Please write out number 11 again, unchanged.
## MnTcSb2 (GGA-PBE)

Data for a relaxed MnTcSb2 crystal.

**E above lowest polymorph**: 0.125 eV per atom
**DOS(E_F)**: 2.80 states/eV per cell

a = 6.347 Å, b = 6.347 Å, c = 6.347 Å
α = 149.49°, β = 143.82°, γ = 48.04°
Positions (direct):
Mn 0.000 0.000 0.000
Tc 0.783 0.283 0.500
Sb 0.189 0.689 0.500
Sb 0.440 0.440 0.000